Compound: Dy2Ag5F12
Source: the Alexandria database
Functional: PBE
Structure: optimized geometry

Cell and atoms, written as POSCAR:
```
Dy2Ag5F12
1.0
-2.087 -6.387 1.703
3.838 1.208 -4.873
6.757 -0.618 5.960
F Dy Ag
12 2 5
direct
0.633 0.742 0.424 F
0.374 0.265 0.196 F
0.109 0.742 0.424 F
0.109 0.735 0.804 F
0.891 0.258 0.576 F
0.367 0.258 0.576 F
0.101 0.202 0.914 F
0.899 0.798 0.086 F
0.597 0.194 0.909 F
0.626 0.735 0.804 F
0.891 0.265 0.196 F
0.403 0.806 0.091 F
0.753 0.000 0.000 Dy
0.247 0.000 0.000 Dy
0.309 0.618 0.628 Ag
0.263 0.527 0.313 Ag
0.000 0.000 0.500 Ag
0.691 0.382 0.372 Ag
0.737 0.473 0.687 Ag
```

Values from the calculation:
Formation energy from raw total energies ... -2.27 eV/atom
Symmetry ... C2/m (12)